Entry 1:
Entry from Alexandria: P2RuNO after structural relaxation (PBE-GGA).

a b c (Å): 12.317 2.716 3.731
angles (deg): 90.00 100.69 90.00
Space group Cm (No. 8)
Asymmetric unit:
P1 0.000 0.000 0.000 (multiplicity 2)
P2 0.223 0.500 0.990 (multiplicity 2)
Ru1 0.385 0.500 0.413 (multiplicity 2)
N1 0.093 0.500 0.082 (multiplicity 2)
O1 0.205 0.000 0.717 (multiplicity 2)

Output
D(E_F), states/eV/atom: 0.467
Formation energy from raw total energies, eV/atom: -0.344
Energy above the lowest structure with this stoichiometry, eV per atom: 0.253

=====

Entry 2:
Entry from Alexandria: PrRe2H8 after structural relaxation (PBE-GGA).

a b c (Å): 4.877 8.140 4.711
angles (deg): 90.00 94.65 90.00
Space group Cm (No. 8)
Asymmetric unit:
Pr1 0.000 0.000 0.000 (multiplicity 2)
Re1 0.416 0.153 0.541 (multiplicity 4)
H1 0.056 0.130 0.485 (multiplicity 4)
H2 0.094 0.500 0.334 (multiplicity 2)
H3 0.238 0.277 0.782 (multiplicity 4)
H4 0.348 0.225 0.201 (multiplicity 4)
H5 0.484 0.000 0.847 (multiplicity 2)

Output
D(E_F), states/eV/atom: 0.277
VASP energy, eV per atom: -5.186

=====

Entry 3:
Entry from Alexandria: Ba2MgCl after structural relaxation (PBE-GGA).

a b c (Å): 8.626 8.626 8.626
angles (deg): 90.00 90.00 90.00
Space group F-43m (No. 216)
Asymmetric unit:
Ba1 0.000 0.000 0.000 (multiplicity 4)
Ba2 0.250 0.250 0.250 (multiplicity 4)
Mg1 0.000 0.000 0.500 (multiplicity 4)
Cl1 0.250 0.250 0.750 (multiplicity 4)

Output
D(E_F), states/eV/atom: 1.364
Formation energy from raw total energies, eV/atom: -0.233
Energy above the lowest structure with this stoichiometry, eV per atom: 0.654

=====

Entry 4:
Entry from Alexandria: La2TlPt after structural relaxation (PBE-GGA).

a b c (Å): 8.396 8.396 6.993
angles (deg): 90.00 90.00 90.00
Space group I-42d (No. 122)
Asymmetric unit:
La1 0.200 0.250 0.125 (multiplicity 8)
Tl1 0.000 0.000 0.500 (multiplicity 4)
Pt1 0.000 0.000 0.000 (multiplicity 4)

Output
D(E_F), states/eV/atom: 1.013
E_form, eV per atom: -0.53
Energy above the lowest structure with this stoichiometry, eV per atom: 0.259

=====

Entry 5:
Entry from Alexandria: Pm2Nd2DyHo4 after structural relaxation (PBE-GGA).

a b c (Å): 18.791 3.621 9.632
angles (deg): 90.00 115.77 90.00
Space group C2/m (No. 12)
Asymmetric unit:
Pm1 0.147 0.000 0.163 (multiplicity 4)
Nd1 0.165 0.500 0.502 (multiplicity 4)
Dy1 0.000 0.000 0.500 (multiplicity 2)
Ho1 0.019 0.500 0.832 (multiplicity 4)
Ho2 0.185 0.000 0.836 (multiplicity 4)

Output
D(E_F), states/eV/atom: 1.340
E_form, eV per atom: 0.00

=====

Entry 6:
Entry from Alexandria: K3H4Pt after structural relaxation (PBE-GGA).

a b c (Å): 5.511 5.835 9.218
angles (deg): 90.00 90.00 90.00
Space group Immm (No. 71)
Asymmetric unit:
K1 0.000 0.000 0.000 (multiplicity 2)
K2 0.000 0.500 0.239 (multiplicity 4)
H1 0.000 0.000 0.318 (multiplicity 4)
H2 0.000 0.285 0.500 (multiplicity 4)
Pt1 0.000 0.000 0.500 (multiplicity 2)

Output
D(E_F), states/eV/atom: 0.144
VASP energy, eV per atom: -3.130

=====

Entry 7:
Entry from Alexandria: NaSc3V after structural relaxation (PBE-GGA).

a b c (Å): 5.101 5.101 5.101
angles (deg): 90.00 90.00 90.00
Space group Pm-3m (No. 221)
Asymmetric unit:
Na1 0.000 0.000 0.000 (multiplicity 1)
Sc1 0.000 0.500 0.500 (multiplicity 3)
V1 0.500 0.500 0.500 (multiplicity 1)

Output
D(E_F), states/eV/atom: 1.028
E_form, eV per atom: 0.52
Energy above the lowest structure with this stoichiometry, eV per atom: 0.000

=====

Entry 8:
Entry from Alexandria: PrHoAg4 after structural relaxation (PBE-GGA).

a b c (Å): 5.366 9.461 5.359
angles (deg): 90.00 90.08 90.00
Space group C2/m (No. 12)
Asymmetric unit:
Pr1 0.000 0.000 0.000 (multiplicity 2)
Ho1 0.000 0.500 0.500 (multiplicity 2)
Ag1 0.000 0.177 0.500 (multiplicity 4)
Ag2 0.000 0.332 0.000 (multiplicity 4)

Output
D(E_F), states/eV/atom: 0.490
E_form, eV per atom: -0.27
Energy above the lowest structure with this stoichiometry, eV per atom: 0.000

=====

Entry 9:
Entry from Alexandria: Ca2HgIO6 after structural relaxation (PBE-GGA).

a b c (Å): 5.8300 5.8300 15.8190
angles (deg): 90.00 90.00 120.00
Space group R3 (No. 146, hexagonal axes)
Asymmetric unit:
Ca1 0.0000 0.0000 0.0000 (multiplicity 3)
Ca2 0.0000 0.0000 0.4836 (multiplicity 3)
Hg1 0.0000 0.0000 0.2455 (multiplicity 3)
I1 0.0000 0.0000 0.6878 (multiplicity 3)
O1 0.0126 0.2930 0.7489 (multiplicity 9)
O2 0.0137 0.7361 0.6006 (multiplicity 9)

Output
D(E_F), states/eV/atom: 0.325
Formation energy from raw total energies, eV/atom: -1.423

=====

Q: D(E_F) of number 1 (P2RuNO)?
A: 0.467 states/eV/atom

=====

Q: Among the records above, which one has the highest D(E_F)?
A: Ba2MgCl

=====

Q: Which value of D(E_F) does entry 9 give?
A: 0.325 states/eV/atom

=====

Q: Which of these has the lowest D(E_F)?
A: K3H4Pt